(1)
Ta2ZnSb | PBE | relaxed

Unit cell a=3.0506 b=3.0506 c=27.9426 alpha=90.00 beta=90.00 gamma=120.00
Space group R-3m (No. 166, hexagonal axes)
Inequivalent atoms, fractional coordinates:
Ta  0.0000  0.0000  0.2476 [6 per cell]
Zn  0.0000  0.0000  0.5000 [3 per cell]
Sb  0.0000  0.0000  0.0000 [3 per cell]

Summary:
**DFT total energy**: -6.957 eV/atom
**E_form (uncorrected)**: 0.32 eV/atom

=====

(2)
TaZn2Sb | PBE | relaxed

Unit cell a=3.1382 b=3.1382 c=26.6567 alpha=90.00 beta=90.00 gamma=120.00
Space group R3m (No. 160, hexagonal axes)
Inequivalent atoms, fractional coordinates:
Ta  0.0000  0.0000  0.0000 [3 per cell]
Zn  0.0000  0.0000  0.4876 [3 per cell]
Zn  0.0000  0.0000  0.7487 [3 per cell]
Sb  0.0000  0.0000  0.2463 [3 per cell]

Summary:
**DFT total energy**: -4.421 eV/atom
**E_form (uncorrected)**: 0.21 eV/atom

=====

(3)
TaZn2Sb | PBE | relaxed

Unit cell a=7.554 b=7.554 c=5.476 alpha=90.00 beta=90.00 gamma=90.00
Space group I-42d (No. 122)
Inequivalent atoms, fractional coordinates:
Ta  0.000  0.000  0.000 [4 per cell]
Zn  0.246  0.750  0.125 [8 per cell]
Sb  0.000  0.000  0.500 [4 per cell]

Summary:
**DFT total energy**: -4.179 eV/atom
**E_form (uncorrected)**: 0.45 eV/atom

=====

(4)
Ta2ZnSb | PBE | relaxed

Unit cell a=9.936 b=3.506 c=4.720 alpha=90.00 beta=117.33 gamma=90.00
Space group C2/m (No. 12)
Inequivalent atoms, fractional coordinates:
Ta  0.245  0.000  0.244 [4 per cell]
Zn  0.000  0.500  0.000 [2 per cell]
Sb  0.000  0.000  0.500 [2 per cell]

Summary:
**DFT total energy**: -7.149 eV/atom
**E_form (uncorrected)**: 0.13 eV/atom

=====

(5)
TaZnSb2 | PBE | relaxed

Unit cell a=3.639 b=3.639 c=6.947 alpha=90.00 beta=90.00 gamma=90.00
Space group P4mm (No. 99)
Inequivalent atoms, fractional coordinates:
Ta  0.000  0.000  0.000 [1 per cell]
Zn  0.500  0.500  0.212 [1 per cell]
Sb  0.000  0.000  0.397 [1 per cell]
Sb  0.500  0.500  0.813 [1 per cell]

Summary:
**DFT total energy**: -5.131 eV/atom
**E_form (uncorrected)**: 0.21 eV/atom

=====

(6)
Ta2ZnSb | PBE | relaxed

Unit cell a=3.970 b=3.970 c=20.187 alpha=90.00 beta=90.00 gamma=90.00
Space group I-42d (No. 122)
Inequivalent atoms, fractional coordinates:
Ta  0.247  0.250  0.125 [8 per cell]
Zn  0.000  0.000  0.000 [4 per cell]
Sb  0.000  0.000  0.500 [4 per cell]

Summary:
**DFT total energy**: -6.825 eV/atom
**E_form (uncorrected)**: 0.45 eV/atom

=====

(7)
TaZnSb | PBE | relaxed

Unit cell a=4.7898 b=4.7898 c=2.8485 alpha=90.00 beta=90.00 gamma=120.00
Space group P3m1 (No. 156)
Inequivalent atoms, fractional coordinates:
Ta  0.0000  0.0000  0.0000 [1 per cell]
Zn  0.6667  0.3333  0.4992 [1 per cell]
Sb  0.3333  0.6667  0.5049 [1 per cell]

Summary:
**DFT total energy**: -5.329 eV/atom
**E_form (uncorrected)**: 0.42 eV/atom

=====

(8)
TaZn2Sb | PBE | relaxed

Unit cell a=4.950 b=4.950 c=3.000 alpha=90.00 beta=90.00 gamma=90.00
Space group P4/mmm (No. 123)
Inequivalent atoms, fractional coordinates:
Ta  0.000  0.000  0.000 [1 per cell]
Zn  0.000  0.500  0.500 [2 per cell]
Sb  0.500  0.500  0.000 [1 per cell]

Summary:
**DFT total energy**: -4.290 eV/atom
**E_form (uncorrected)**: 0.34 eV/atom

=====

(9)
TaZn2Sb | PBE | relaxed

Unit cell a=3.941 b=3.941 c=9.233 alpha=90.00 beta=90.00 gamma=90.00
Space group I4/mmm (No. 139)
Inequivalent atoms, fractional coordinates:
Ta  0.000  0.000  0.000 [2 per cell]
Zn  0.000  0.500  0.250 [4 per cell]
Sb  0.000  0.000  0.500 [2 per cell]

Summary:
**DFT total energy**: -4.392 eV/atom
**E_form (uncorrected)**: 0.24 eV/atom

=====

(10)
TaZnSb | PBE | relaxed

Unit cell a=3.1342 b=3.1342 c=7.0433 alpha=90.00 beta=90.00 gamma=120.00
Space group P3m1 (No. 156)
Inequivalent atoms, fractional coordinates:
Ta  0.0000  0.0000  0.0000 [1 per cell]
Zn  0.6667  0.3333  0.3011 [1 per cell]
Sb  0.3333  0.6667  0.6617 [1 per cell]

Summary:
**DFT total energy**: -5.478 eV/atom
**E_form (uncorrected)**: 0.27 eV/atom

=====

(11)
Ta2ZnSb | PBE | relaxed

Unit cell a=3.0883 b=3.0883 c=28.8179 alpha=90.00 beta=90.00 gamma=120.00
Space group R3m (No. 160, hexagonal axes)
Inequivalent atoms, fractional coordinates:
Ta  0.0000  0.0000  0.0000 [3 per cell]
Ta  0.0000  0.0000  0.2512 [3 per cell]
Zn  0.0000  0.0000  0.5091 [3 per cell]
Sb  0.0000  0.0000  0.7494 [3 per cell]

Summary:
**DFT total energy**: -6.986 eV/atom
**E_form (uncorrected)**: 0.29 eV/atom

=====

(12)
TaZnSb4 | PBE | relaxed

Unit cell a=8.556 b=8.556 c=8.556 alpha=90.00 beta=90.00 gamma=90.00
Space group F-43m (No. 216)
Inequivalent atoms, fractional coordinates:
Ta  0.000  0.000  0.000 [4 per cell]
Zn  0.250  0.250  0.750 [4 per cell]
Sb  0.126  0.126  0.374 [16 per cell]

Summary:
**DFT total energy**: -4.018 eV/atom
**E_form (uncorrected)**: 0.92 eV/atom

=====

> The highest DFT total energy belongs to which entry?

TaZnSb4

=====

> Among the records above, which one has the lowest E_form (uncorrected)?

number 4